The following is a PBEsol calculation of crystalline InSiSe at its relaxed geometry, from the Alexandria database.

Results
Density = 5.002 g cm⁻³
Space-group type = F-43m (216)
Energy relative to the elements, uncorrected = 0.523 eV per atom

Cell and atoms, written as POSCAR:
```
InSiSe
1.0
-3.463 -1.522 -2.798
0.834 -3.407 -3.136
-1.831 -4.287 0.641
Si Se In
1 1 1
direct
0.000 0.000 0.000
0.250 0.250 0.250
0.500 0.500 0.500
```



The following is a PBEsol calculation of crystalline In2SiSe at its relaxed geometry, from the Alexandria database.

Results
Density = 6.024 g cm⁻³
Space-group type = Immm (71)
Energy relative to the elements, uncorrected = 0.092 eV per atom
Energy above the lowest structure with this stoichiometry = 0.00 eV/f.u.

Cell and atoms, written as POSCAR:
```
In2SiSe
1.0
3.588 0.000 0.000
0.000 4.115 0.000
-1.794 -2.057 6.286
In Se Si
2 1 1
direct
0.685 0.685 0.370
0.315 0.315 0.630
0.500 0.000 0.000
0.000 0.500 0.000
```



The following is a PBEsol calculation of crystalline In2SiSe at its relaxed geometry, from the Alexandria database.

Results
Density = 6.408 g cm⁻³
Space-group type = F-43m (216)
Energy relative to the elements, uncorrected = 0.266 eV per atom
Energy above the lowest structure with this stoichiometry = 0.70 eV/f.u.

Cell and atoms, written as POSCAR:
```
In2SiSe
1.0
4.978 0.000 0.000
2.489 4.311 0.000
2.489 1.437 4.065
In Se Si
2 1 1
direct
0.000 0.000 0.000
0.750 0.750 0.750
0.500 0.500 0.500
0.250 0.250 0.250
```



The following is a PBEsol calculation of crystalline In2SiSe at its relaxed geometry, from the Alexandria database.

Results
Density = 6.301 g cm⁻³
Space-group type = I-4m2 (119)
Energy relative to the elements, uncorrected = 0.187 eV per atom
Energy above the lowest structure with this stoichiometry = 0.38 eV/f.u.

Cell and atoms, written as POSCAR:
```
In2SiSe
1.0
4.085 0.000 0.000
0.000 4.085 0.000
-2.042 -2.042 5.318
In Se Si
2 1 1
direct
0.000 0.000 0.000
0.750 0.250 0.500
0.500 0.500 0.000
0.250 0.750 0.500
```



The following is a PBEsol calculation of crystalline Sr2InSe at its relaxed geometry, from the Alexandria database.

Results
Density = 5.161 g cm⁻³
Space-group type = I4/mmm (139)
Energy relative to the elements, uncorrected = -0.801 eV per atom

Cell and atoms, written as POSCAR:
```
Sr2InSe
1.0
5.143 0.000 0.000
-2.572 5.173 -0.014
0.000 2.568 4.456
In Se Sr
1 1 2
direct
0.500 0.000 0.500
0.000 0.000 0.000
0.250 0.500 0.250
0.750 0.500 0.750
```



The following is a PBEsol calculation of crystalline SrInSe at its relaxed geometry, from the Alexandria database.

Results
Density = 4.725 g cm⁻³
Space-group type = F-43m (216)
Energy relative to the elements, uncorrected = -0.505 eV per atom
Energy above the lowest structure with this stoichiometry = 0.90 eV/f.u.

Cell and atoms, written as POSCAR:
```
SrInSe
1.0
-2.654 2.827 3.451
-4.412 2.343 -1.409
-4.547 -1.722 1.816
In Se Sr
1 1 1
direct
0.000 0.000 0.000
0.500 0.500 0.500
0.250 0.250 0.250
```



The following is a PBEsol calculation of crystalline SrInSe3 at its relaxed geometry, from the Alexandria database.

Results
Density = 3.886 g cm⁻³
Space-group type = Pm-3m (221)
Energy relative to the elements, uncorrected = 0.013 eV per atom

Cell and atoms, written as POSCAR:
```
SrInSe3
1.0
-4.012 -1.021 -3.956
-2.595 -3.646 3.573
-3.155 4.296 2.092
Sr Se In
1 3 1
direct
0.000 0.000 0.000
0.000 0.500 0.000
0.000 0.000 0.500
0.500 0.000 0.000
0.500 0.500 0.500
```



The following is a PBEsol calculation of crystalline SrInSe2 at its relaxed geometry, from the Alexandria database.

Results
Density = 5.468 g cm⁻³
Space-group type = P4/mmm (123)
Energy relative to the elements, uncorrected = -1.210 eV per atom

Cell and atoms, written as POSCAR:
```
SrInSe2
1.0
-0.262 -2.862 -3.138
-2.974 -2.121 2.183
-4.306 3.306 -2.655
Sr Se In
1 2 1
direct
0.000 0.000 0.000
0.000 0.000 0.500
0.500 0.500 0.000
0.500 0.500 0.500
```



The following is a PBEsol calculation of crystalline SrInSe at its relaxed geometry, from the Alexandria database.

Results
Density = 5.487 g cm⁻³
Space-group type = P-6m2 (187)
Energy relative to the elements, uncorrected = -0.805 eV per atom
Energy above the lowest structure with this stoichiometry = 0.00 eV/f.u.

Cell and atoms, written as POSCAR:
```
SrInSe
1.0
-3.052 0.944 2.362
-0.518 -4.789 1.245
2.981 2.956 2.670
In Se Sr
1 1 1
direct
0.834 0.000 0.000
0.833 0.333 0.667
0.333 0.667 0.333
```



The following is a PBEsol calculation of crystalline TaIn2Se at its relaxed geometry, from the Alexandria database.

Results
Density = 9.452 g cm⁻³
Space-group type = P2/m (10)
Energy relative to the elements, uncorrected = 0.191 eV per atom

Cell and atoms, written as POSCAR:
```
TaIn2Se
1.0
-1.759 -2.703 0.712
3.923 -1.576 2.629
-1.908 2.366 4.265
In Se Ta
2 1 1
direct
0.801 0.245 0.000
0.199 0.755 0.000
0.500 0.500 0.500
0.500 0.000 0.500
```



The following is a PBEsol calculation of crystalline TaIn2Se at its relaxed geometry, from the Alexandria database.

Results
Density = 9.153 g cm⁻³
Space-group type = Cmm2 (35)
Energy relative to the elements, uncorrected = -0.013 eV per atom

Cell and atoms, written as POSCAR:
```
TaIn2Se
1.0
-1.096 1.449 2.484
-2.246 -1.335 -1.626
1.102 -8.450 5.415
In Se Ta
2 1 1
direct
0.000 0.000 0.029
0.500 0.500 0.762
0.000 0.000 0.446
0.500 0.500 0.263
```



The following is a PBEsol calculation of crystalline TaInSe2 at its relaxed geometry, from the Alexandria database.

Results
Density = 8.222 g cm⁻³
Space-group type = P-6m2 (187)
Energy relative to the elements, uncorrected = -0.666 eV per atom

Cell and atoms, written as POSCAR:
```
TaInSe2
1.0
-0.003 0.547 -3.343
-2.909 -0.632 1.615
-1.141 9.031 1.479
In Se Ta
1 2 1
direct
0.667 0.333 0.000
0.667 0.333 0.319
0.667 0.333 0.681
0.000 0.000 0.500
```